Entry 1:
Compound: LaMn2Sb
Source: Alexandria
Functional: PBE-GGA
Structure: relaxed

Calculated values
For the calculated total energy, the calculation gives -26.43 eV per cell.

a = 5.088 Å, b = 5.088 Å, c = 5.088 Å
α = 60.00°, β = 60.00°, γ = 60.00°
Sites, in units of the cell vectors:
La 0.000 0.000 0.000
Mn 0.250 0.250 0.250
Mn 0.500 0.500 0.500
Sb 0.750 0.750 0.750


Entry 2:
Compound: SmH2Cl
Source: Alexandria
Functional: PBE-GGA
Structure: relaxed

Calculated values
For the calculated total energy, the calculation gives -36.18 eV per cell.

a = 3.823 Å, b = 3.823 Å, c = 10.258 Å
α = 90.00°, β = 90.00°, γ = 120.00°
Sites, in units of the cell vectors:
Sm 0.333 0.667 0.338
Sm 0.667 0.333 0.662
H 0.000 0.000 0.360
H 0.000 0.000 0.640
H 0.333 0.667 0.561
H 0.667 0.333 0.439
Cl 0.333 0.667 0.836
Cl 0.667 0.333 0.164


Entry 3:
Compound: Ni2MoW
Source: Alexandria
Functional: PBE-GGA
Structure: relaxed

Calculated values
As for the excess energy over the best structure of this formula in the dataset: 4.1 kJ per mole of atoms. The value obtained for the calculated formation energy is 34 meV/atom.

a = 4.621 Å, b = 4.621 Å, c = 2.663 Å
α = 90.00°, β = 90.00°, γ = 109.75°
Sites, in units of the cell vectors:
Ni 0.000 0.500 0.000
Ni 0.500 0.000 0.000
Mo 0.000 0.000 0.500
W 0.500 0.500 0.500


Entry 4:
Compound: Ca4MgCu
Source: Alexandria
Functional: PBE-GGA
Structure: relaxed

Calculated values
As for the excess energy over the best structure of this formula in the dataset: 59.5 kJ per mole of atoms. The value obtained for the calculated formation energy is 534 meV/atom.

a = 6.736 Å, b = 6.736 Å, c = 6.736 Å
α = 60.00°, β = 60.00°, γ = 60.00°
Sites, in units of the cell vectors:
Ca 0.125 0.125 0.125
Ca 0.125 0.125 0.625
Ca 0.125 0.625 0.125
Ca 0.625 0.125 0.125
Mg 0.500 0.500 0.500
Cu 0.750 0.750 0.750


Entry 5:
Compound: La2HfAs3Rh12
Source: Alexandria
Functional: PBE-GGA
Structure: relaxed

Calculated values
The value obtained for the calculated formation energy is -298 meV/atom.

a = 6.827 Å, b = 6.827 Å, c = 6.827 Å
α = 83.13°, β = 83.13°, γ = 83.13°
Sites, in units of the cell vectors:
La 0.140 0.140 0.140
La 0.860 0.860 0.860
Hf 0.500 0.500 0.500
As 0.000 0.500 0.500
As 0.500 0.000 0.500
As 0.500 0.500 0.000
Rh 0.124 0.124 0.601
Rh 0.124 0.601 0.124
Rh 0.183 0.684 0.684
Rh 0.316 0.316 0.817
Rh 0.316 0.817 0.316
Rh 0.399 0.876 0.876
Rh 0.601 0.124 0.124
Rh 0.684 0.183 0.684
Rh 0.684 0.684 0.183
Rh 0.817 0.316 0.316
Rh 0.876 0.399 0.876
Rh 0.876 0.876 0.399


Entry 6:
Compound: Ce3SiP
Source: Alexandria
Functional: PBE-GGA
Structure: relaxed

Calculated values
For the calculated total energy, the calculation gives -128.98 eV per cell.

a = 7.878 Å, b = 7.878 Å, c = 7.996 Å
α = 91.26°, β = 91.26°, γ = 85.67°
Sites, in units of the cell vectors:
Ce 0.047 0.842 0.590
Ce 0.069 0.430 0.809
Ce 0.158 0.953 0.910
Ce 0.298 0.470 0.413
Ce 0.430 0.069 0.309
Ce 0.470 0.298 0.913
Ce 0.530 0.702 0.087
Ce 0.570 0.931 0.691
Ce 0.702 0.530 0.587
Ce 0.842 0.047 0.090
Ce 0.931 0.570 0.191
Ce 0.953 0.158 0.410
Si 0.181 0.819 0.250
Si 0.358 0.642 0.750
Si 0.642 0.358 0.250
Si 0.819 0.181 0.750
P 0.160 0.266 0.125
P 0.266 0.160 0.625
P 0.734 0.840 0.375
P 0.840 0.734 0.875


Entry 7:
Compound: Ca2TcRu
Source: Alexandria
Functional: PBE-GGA
Structure: relaxed

Calculated values
As for the excess energy over the best structure of this formula in the dataset: 53.4 kJ per mole of atoms. The value obtained for the calculated formation energy is 768 meV/atom.

a = 3.624 Å, b = 3.624 Å, c = 6.436 Å
α = 90.00°, β = 90.00°, γ = 90.00°
Sites, in units of the cell vectors:
Ca 0.000 0.000 0.239
Ca 0.000 0.000 0.761
Tc 0.500 0.500 0.500
Ru 0.500 0.500 0.000


Entry 8:
Compound: K2YHg
Source: Alexandria
Functional: PBE-GGA
Structure: relaxed

Calculated values
The value obtained for the calculated formation energy is 213 meV/atom.

a = 3.630 Å, b = 3.630 Å, c = 12.089 Å
α = 90.00°, β = 90.00°, γ = 90.00°
Sites, in units of the cell vectors:
K 0.000 0.000 0.217
K 0.000 0.000 0.783
Y 0.500 0.500 0.500
Hg 0.500 0.500 0.000


Entry 9:
Compound: AcGa4IrRh2
Source: Alexandria
Functional: PBE-GGA
Structure: relaxed

Calculated values
The value obtained for the calculated formation energy is -618 meV/atom.

a = 9.587 Å, b = 9.587 Å, c = 9.587 Å
α = 25.83°, β = 25.83°, γ = 25.83°
Sites, in units of the cell vectors:
Ac 0.000 0.000 0.000
Ga 0.133 0.133 0.133
Ga 0.407 0.407 0.407
Ga 0.593 0.593 0.593
Ga 0.867 0.867 0.867
Ir 0.500 0.500 0.500
Rh 0.229 0.229 0.229
Rh 0.771 0.771 0.771


Entry 10:
Compound: Sr2HoMnSe5
Source: Alexandria
Functional: PBE-GGA
Structure: relaxed

Calculated values
For the calculated total energy, the calculation gives -96.62 eV per cell.

a = 9.419 Å, b = 9.419 Å, c = 12.847 Å
α = 90.00°, β = 90.00°, γ = 154.51°
Sites, in units of the cell vectors:
Sr 0.121 0.879 0.500
Sr 0.123 0.877 0.854
Sr 0.877 0.123 0.354
Sr 0.879 0.121 0.000
Ho 0.201 0.799 0.196
Ho 0.799 0.201 0.696
Mn 0.442 0.558 0.595
Mn 0.558 0.442 0.095
Se 0.038 0.962 0.192
Se 0.300 0.700 0.845
Se 0.314 0.686 0.538
Se 0.351 0.649 0.177
Se 0.499 0.501 0.429
Se 0.501 0.499 0.929
Se 0.649 0.351 0.677
Se 0.686 0.314 0.038
Se 0.700 0.300 0.345
Se 0.962 0.038 0.692


Entry 11:
Compound: DyHo3Th2
Source: Alexandria
Functional: PBE-GGA
Structure: relaxed

Calculated values
As for the excess energy over the best structure of this formula in the dataset: 0.0 kJ per mole of atoms. The value obtained for the calculated formation energy is 28 meV/atom.

a = 10.005 Å, b = 3.561 Å, c = 10.619 Å
α = 90.00°, β = 90.04°, γ = 90.00°
Sites, in units of the cell vectors:
Dy 0.124 0.250 0.251
Dy 0.876 0.750 0.749
Ho 0.131 0.250 0.918
Ho 0.369 0.750 0.418
Ho 0.376 0.750 0.751
Ho 0.624 0.250 0.249
Ho 0.631 0.250 0.582
Ho 0.869 0.750 0.082
Th 0.123 0.250 0.582
Th 0.378 0.750 0.083
Th 0.622 0.250 0.917
Th 0.877 0.750 0.418


Entry 12:
Compound: Ta4FeNi
Source: Alexandria
Functional: PBE-GGA
Structure: relaxed

Calculated values
As for the excess energy over the best structure of this formula in the dataset: 84.8 kJ per mole of atoms. The value obtained for the calculated formation energy is 686 meV/atom.

a = 5.326 Å, b = 5.326 Å, c = 5.326 Å
α = 60.00°, β = 60.00°, γ = 60.00°
Sites, in units of the cell vectors:
Ta 0.125 0.125 0.125
Ta 0.125 0.125 0.626
Ta 0.125 0.626 0.125
Ta 0.626 0.125 0.125
Fe 0.750 0.750 0.750
Ni 0.500 0.500 0.500


Number 1: theoretical density 6.61 g/cm3. Number 2: theoretical density 4.80 g/cm3. Number 3: theoretical density 12.32 g/cm3. Number 4: theoretical density 1.91 g/cm3. Number 5: theoretical density 10.20 g/cm3. Number 6: theoretical density 6.44 g/cm3. Number 7: theoretical density 5.49 g/cm3. Number 8: theoretical density 3.83 g/cm3. Number 9: theoretical density 10.19 g/cm3. Number 10: theoretical density 5.35 g/cm3. Number 11: theoretical density 9.84 g/cm3. Number 12: theoretical density 13.03 g/cm3.